Density functional theory data (GGA+U) for a relaxed structure of Li2AlVO4.

abc: 5.1063 5.8876 7.6693
angles: 79.28 71.66 89.86
Closest atoms and distances in Å follow each position.
Fractional positions:
Li: 0.0006 0.3997 0.3313  6 O 2.08-2.30
Li: 0.0014 0.9205 0.3332  6 O 2.09-2.19
Li: 0.0034 0.7599 0.9937  6 O 2.10-2.32
Li: 0.9966 0.2401 0.0063  6 O 2.10-2.32
Li: 0.9986 0.0795 0.6668  6 O 2.09-2.19
Li: 0.9994 0.6003 0.6687  6 O 2.08-2.30
Al: 0.4985 0.1596 0.3328  6 O 1.93-1.97
Al: 0.5000 0.0000 0.0000  6 O 1.94-1.96
Al: 0.5015 0.8404 0.6672  6 O 1.93-1.97
V: 0.4990 0.3345 0.6657  6 O 2.03-2.06
V: 0.5000 0.5000 0.0000  6 O 2.02-2.10
V: 0.5010 0.6655 0.3343  6 O 2.03-2.06
O: 0.2750 0.3672 0.4868  1 Al 1.97, 2 V 2.03-2.04, 2 Li 2.09-2.16
O: 0.2760 0.5627 0.8208  1 Al 1.96, 2 V 2.03-2.06, 2 Li 2.08-2.11
O: 0.2780 0.7207 0.1546  1 Al 1.96, 2 V 2.02-2.03, 2 Li 2.13-2.15
O: 0.2816 0.1921 0.1645  2 Al 1.93-1.94, 3 Li 2.09-2.16, 1 V 2.10
O: 0.2836 0.0380 0.8303  2 Al 1.94-1.95, 1 V 2.04, 1 Li 2.10
O: 0.2835 0.8871 0.4987  2 Al 1.94, 1 V 2.06, 2 Li 2.10-2.16
O: 0.7165 0.1129 0.5013  2 Al 1.94, 1 V 2.06, 2 Li 2.10-2.16
O: 0.7164 0.9620 0.1697  2 Al 1.94-1.95, 1 V 2.04, 1 Li 2.10
O: 0.7184 0.8079 0.8355  2 Al 1.93-1.94, 3 Li 2.09-2.16, 1 V 2.10
O: 0.7220 0.2793 0.8454  1 Al 1.96, 2 V 2.02-2.03, 2 Li 2.13-2.15
O: 0.7240 0.4373 0.1792  1 Al 1.96, 2 V 2.03-2.06, 2 Li 2.08-2.11
O: 0.7250 0.6328 0.5132  1 Al 1.97, 2 V 2.03-2.04, 2 Li 2.09-2.16

## Properties
M_tot = 0.250 μB per atom
relative energy among the computed polymorphs = 0.00 kJ/mol of atoms
SG = P-1, No. 2